Computed, not measured: a relaxed BaSc crystal at the PBE level of DFT.

The calculation puts the density of states at the Fermi level at 3.69 states/eV/f.u. The value obtained for the energy of formation from the pure elements is 0.56 eV per atom. The calculation puts the total energy at -28.5 eV/cell.

The space group is P6_3/mmc (No. 194) and the conventional cell measures 6.1712, 6.1712 and 9.6208 Å, with angles of 90.00, 90.00 and 120.00 degrees. The distinct sites, in fractional coordinates, are Ba at (0.0000, 0.0000, 0.2500), Ba at (0.3333, 0.6667, 0.2500) and Sc at (0.3333, 0.6667, 0.5931).